(1)
The following is a PBEsol calculation of a geometry-optimized Sr3CuIr structure, from the Alexandria database.

The structure belongs to space group Pm-3m (No. 221); the cell edges are 5.662, 5.662 and 5.662 Å and the angles 90.00°, 90.00° and 90.00°. Symmetry generates all atoms from Sr at (0.000, 0.000, 0.500), Cu at (0.500, 0.500, 0.500) and Ir at (0.000, 0.000, 0.000).

For the total energy, the calculation gives -18.42 eV per formula unit. As for the crystal system: cubic. The value obtained for the formation energy is 5.79 kcal/mol of atoms.

***

(2)
The following is a PBEsol calculation of a geometry-optimized ZrCdAg2 structure, from the Alexandria database.

The structure belongs to space group Pmmm (No. 47); the cell edges are 2.992, 3.842 and 6.481 Å and the angles 90.00°, 90.00° and 90.00°. Symmetry generates all atoms from Zr at (0.000, 0.000, 0.000), Cd at (0.000, 0.000, 0.500) and Ag at (0.500, 0.500, 0.254).

For the total energy, the calculation gives -17.19 eV per formula unit. As for the crystal system: orthorhombic. The value obtained for the formation energy is -1.61 kcal/mol of atoms.

***

(3)
The following is a PBEsol calculation of a geometry-optimized TmRe2 structure, from the Alexandria database.

The structure belongs to space group P6_3/mmc (No. 194); the cell edges are 5.3338, 5.3338 and 8.6671 Å and the angles 90.00°, 90.00° and 120.00°. Symmetry generates all atoms from Tm at (0.3333, 0.6667, 0.0622), Re at (0.0000, 0.0000, 0.0000) and Re at (0.1711, 0.3421, 0.7500).

For the total energy, the calculation gives -32.40 eV per formula unit. As for the crystal system: hexagonal. The value obtained for the formation energy is -6.41 kcal/mol of atoms.

***

(4)
The following is a PBEsol calculation of a geometry-optimized YBe2Pt2 structure, from the Alexandria database.

The structure belongs to space group I4/mmm (No. 139); the cell edges are 3.894, 3.894 and 10.050 Å and the angles 90.00°, 90.00° and 90.00°. Symmetry generates all atoms from Y at (0.000, 0.000, 0.000), Be at (0.000, 0.500, 0.250) and Pt at (0.000, 0.000, 0.367).

For the total energy, the calculation gives -32.84 eV per formula unit. As for the crystal system: tetragonal. The value obtained for the formation energy is -18.89 kcal/mol of atoms.

***

(5)
The following is a PBEsol calculation of a geometry-optimized Ti2Co structure, from the Alexandria database.

The structure belongs to space group Fd-3m (No. 227, origin choice 2); the cell edges are 11.066, 11.066 and 11.066 Å and the angles 90.00°, 90.00° and 90.00°. Symmetry generates all atoms from Ti at (0.000, 0.000, 0.000), Ti at (0.062, 0.375, 0.875) and Co at (0.033, 0.033, 0.217).

For the total energy, the calculation gives -25.26 eV per formula unit. As for the crystal system: cubic. The value obtained for the formation energy is -6.71 kcal/mol of atoms.

***

(6)
The following is a PBEsol calculation of a geometry-optimized LiCr2Ru structure, from the Alexandria database.

The structure belongs to space group I4/mmm (No. 139); the cell edges are 3.311, 3.311 and 8.320 Å and the angles 90.00°, 90.00° and 90.00°. Symmetry generates all atoms from Li at (0.000, 0.000, 0.000), Cr at (0.000, 0.500, 0.250) and Ru at (0.000, 0.000, 0.500).

For the total energy, the calculation gives -30.94 eV per formula unit. As for the crystal system: tetragonal. The value obtained for the formation energy is 9.72 kcal/mol of atoms.

***

(7)
The following is a PBEsol calculation of a geometry-optimized Mo2PbSe structure, from the Alexandria database.

The structure belongs to space group Cm (No. 8); the cell edges are 8.974, 3.196 and 5.538 Å and the angles 90.00°, 103.10° and 90.00°. Symmetry generates all atoms from Mo at (0.000, 0.000, 0.000), Mo at (0.218, 0.500, 0.226), Pb at (0.233, 0.000, 0.728) and Se at (0.454, 0.000, 0.329).

For the total energy, the calculation gives -30.12 eV per formula unit. The calculation puts the energy above the most stable polymorph in this dataset at 0 meV/atom. As for the crystal system: monoclinic. For the uncorrected formation energy, the calculation gives 0.317 eV per atom.

***

(8)
The following is a PBEsol calculation of a geometry-optimized TaAl2As structure, from the Alexandria database.

The structure belongs to space group Pm (No. 6); the cell edges are 2.898, 4.666 and 4.858 Å and the angles 90.00°, 90.04° and 90.00°. Symmetry generates all atoms from Ta at (0.000, 0.000, 0.000), Al at (0.500, 0.000, 0.500), Al at (0.501, 0.500, 0.196) and As at (0.999, 0.500, 0.710).

For the total energy, the calculation gives -26.32 eV per formula unit. As for the crystal system: monoclinic. The value obtained for the formation energy is -2.76 kcal/mol of atoms.